## LiCa2PN (PBE)

Data for a relaxed structure of LiCa2PN.

- ΔE_f (raw) (eV per atom) = -0.75
- crystal system = tetragonal
- total magnetization (μB/atom) = 0.000

abc: 4.7887 4.7887 3.9702
angles: 90.00 90.00 90.00
Positions (direct):
P 0.5000 0.5000 0.5000
Ca 0.0000 0.5000 0.0000
Ca 0.5000 0.0000 0.0000
Li 0.0000 0.0000 0.5000
N 0.0000 0.0000 0.0000